# 1
Compound: In6PbSe8
Source: Alexandria via LeMat-Bulk
Functional: GGA-PBE
Structure: optimized geometry

Cell lengths 10.8150, 10.8150, 12.8959 Å; angles 90.00, 90.00, 120.00 degrees
Space group R-3 (No. 148, hexagonal axes)
Inequivalent atoms, fractional coordinates:
In: 0.0080 0.7625 0.3686 (multiplicity 18)
Pb: 0.0000 0.0000 0.0000 (multiplicity 3)
Se: 0.0000 0.0000 0.3061 (multiplicity 6)
Se: 0.0529 0.4494 0.7756 (multiplicity 18)

Computed properties:
Volume, A^3/atom: 29.0
Total moment, μB/cell: 0.00
Formation energy from raw total energies, eV/atom: -0.39

***

# 2
Compound: KLiEr2Se4
Source: Alexandria via LeMat-Bulk
Functional: GGA-PBE
Structure: optimized geometry

Cell lengths 4.156, 13.891, 14.499 Å; angles 90.00, 90.00, 90.00 degrees
Space group Cmcm (No. 63)
Inequivalent atoms, fractional coordinates:
K: 0.000 0.110 0.250 (multiplicity 4)
Li: 0.000 0.166 0.750 (multiplicity 4)
Er: 0.000 0.366 0.063 (multiplicity 8)
Se: 0.000 0.000 0.000 (multiplicity 4)
Se: 0.000 0.265 0.608 (multiplicity 8)
Se: 0.000 0.430 0.250 (multiplicity 4)

Computed properties:
Volume, A^3/atom: 26.2
Total moment, μB/cell: 0.00
Formation energy from raw total energies, eV/atom: -1.70

***

# 3
Compound: Sr2LaGaO
Source: Alexandria via LeMat-Bulk
Functional: GGA-PBE
Structure: optimized geometry

Cell lengths 5.091, 5.091, 5.109 Å; angles 90.00, 90.00, 90.00 degrees
Space group P4/mmm (No. 123)
Inequivalent atoms, fractional coordinates:
Sr: 0.000 0.500 0.000 (multiplicity 2)
La: 0.000 0.000 0.500 (multiplicity 1)
Ga: 0.500 0.500 0.500 (multiplicity 1)
O: 0.000 0.000 0.000 (multiplicity 1)

Computed properties:
Volume, A^3/atom: 26.5
Total moment, μB/cell: 0.00
Formation energy from raw total energies, eV/atom: -1.26

***

# 4
Compound: Li3Zn4Cu
Source: Alexandria via LeMat-Bulk
Functional: GGA-PBE
Structure: optimized geometry

Cell lengths 2.798, 4.670, 9.098 Å; angles 101.64, 98.71, 90.69 degrees
Space group P-1 (No. 2)
Inequivalent atoms, fractional coordinates:
Li: 0.000 0.000 0.000 (multiplicity 1)
Li: 0.378 0.990 0.740 (multiplicity 2)
Zn: 0.113 0.495 0.234 (multiplicity 2)
Zn: 0.251 0.259 0.509 (multiplicity 2)
Cu: 0.500 0.500 0.000 (multiplicity 1)

Computed properties:
Volume, A^3/atom: 14.4
Energy relative to the elements, kJ/mol of atoms: -11
Excess energy over the best structure of this formula in the dataset, meV per atom: 0.0
Total moment, μB/cell: 0.00

***

# 5
Compound: Al2InTcMo
Source: Alexandria via LeMat-Bulk
Functional: GGA-PBE
Structure: optimized geometry

Cell lengths 4.690, 4.690, 5.075 Å; angles 90.00, 90.00, 90.00 degrees
Space group P4/mmm (No. 123)
Inequivalent atoms, fractional coordinates:
Al: 0.000 0.500 0.000 (multiplicity 2)
In: 0.000 0.000 0.500 (multiplicity 1)
Tc: 0.000 0.000 0.000 (multiplicity 1)
Mo: 0.500 0.500 0.500 (multiplicity 1)

Computed properties:
Volume, A^3/atom: 22.3
Energy relative to the elements, kJ/mol of atoms: 87
Total moment, μB/cell: 3.90

***

# 6
Compound: Mn2NiGeN
Source: Alexandria via LeMat-Bulk
Functional: GGA-PBE
Structure: optimized geometry

Cell lengths 3.817, 3.817, 3.893 Å; angles 90.00, 90.00, 90.00 degrees
Space group P4/mmm (No. 123)
Inequivalent atoms, fractional coordinates:
Mn: 0.000 0.500 0.000 (multiplicity 2)
Ni: 0.000 0.000 0.500 (multiplicity 1)
Ge: 0.500 0.500 0.500 (multiplicity 1)
N: 0.000 0.000 0.000 (multiplicity 1)

Computed properties:
Volume, A^3/atom: 11.3
Total moment, μB/cell: 4.39
Formation energy from raw total energies, eV/atom: -0.15

***

Uncorrected energy (eV/atom)
-3.592 -4.958 -4.517 -1.977 -5.378 -7.559